[1]
A plane-wave DFT calculation with GGA-PBE was carried out for a geometry-optimized TeI3Cl structure.

a b c (Å): 5.8433 5.8433 5.8433
angles (deg): 90.00 90.00 90.00
Atoms (fractional coordinates):
Te: 0.0000 0.0000 0.0000
I: 0.0000 0.5000 0.5000
I: 0.5000 0.0000 0.5000
I: 0.5000 0.5000 0.0000
Cl: 0.5000 0.5000 0.5000

Energy relative to the lowest polymorph listed for this composition in eV per formula unit: 4.11
Total moment in μB/cell: 2.99
E_form (uncorrected) in eV per atom: 0.616
Uncorrected energy in eV/atom: -1.3122

[2]
A plane-wave DFT calculation with GGA-PBE was carried out for a geometry-optimized TeI3Cl structure.

a b c (Å): 5.9551 5.9551 5.9551
angles (deg): 90.00 90.00 90.00
Atoms (fractional coordinates):
Te: 0.0000 0.0000 0.0000
I: 0.0000 0.0000 0.5000
I: 0.0000 0.5000 0.0000
I: 0.5000 0.0000 0.0000
Cl: 0.5000 0.5000 0.5000

Energy relative to the lowest polymorph listed for this composition in eV per formula unit: 1.95
Total moment in μB/cell: 0.31
E_form (uncorrected) in eV per atom: 0.183
Uncorrected energy in eV/atom: -1.7445

[3]
A plane-wave DFT calculation with GGA-PBE was carried out for a geometry-optimized TeI3Cl structure.

a b c (Å): 6.3363 9.3288 9.3781
angles (deg): 90.04 90.02 90.08
Atoms (fractional coordinates):
Te: 0.0000 0.0000 0.0000
Te: 0.4993 0.7110 0.4998
I: 0.0930 0.6653 0.9999
I: 0.2771 0.0314 0.2315
I: 0.2771 0.0313 0.7686
I: 0.5937 0.0457 0.5002
I: 0.7763 0.6795 0.7312
I: 0.7763 0.6796 0.2684
Cl: 0.3796 0.4645 0.4995
Cl: 0.8815 0.2466 0.0000

Energy relative to the lowest polymorph listed for this composition in eV per formula unit: 0.00
Total moment in μB/cell: 0.00
E_form (uncorrected) in eV per atom: -0.206
Uncorrected energy in eV/atom: -2.1336